A plane-wave DFT calculation with PBE-GGA was carried out for a geometry-optimized CsKHgAs structure.

Computed properties:
Energy of formation: -148 meV/atom

Cell lengths 6.026, 6.026, 6.026 Å; angles 60.00, 60.00, 60.00 degrees
Element x y z (fractional)
1 Cs 0.000 0.000 0.000
2 K 0.500 0.500 0.500
3 Hg 0.250 0.250 0.250
4 As 0.750 0.750 0.750


A plane-wave DFT calculation with PBE-GGA was carried out for a geometry-optimized BaZrSnSb2 structure.

Computed properties:
Uncorrected formation energy: 1.37 eV/atom

Cell lengths 6.086, 6.086, 5.535 Å; angles 90.00, 90.00, 90.00 degrees
Element x y z (fractional)
1 Ba 0.000 0.000 0.000
2 Zr 0.000 0.000 0.500
3 Sn 0.500 0.500 0.500
4 Sb 0.000 0.500 0.000
5 Sb 0.500 0.000 0.000


A plane-wave DFT calculation with PBE-GGA was carried out for a geometry-optimized CdCuRu2 structure.

Computed properties:
Energy of formation: 499 meV/atom

Cell lengths 2.718, 2.718, 9.267 Å; angles 90.00, 90.00, 117.01 degrees
Element x y z (fractional)
1 Cd 0.000 0.000 0.000
2 Cu 0.000 0.000 0.500
3 Ru 0.500 0.500 0.267
4 Ru 0.500 0.500 0.733


A plane-wave DFT calculation with PBE-GGA was carried out for a geometry-optimized ReNiCl2 structure.

Computed properties:
Uncorrected formation energy: 0.07 eV/atom
Energy above the lowest structure with this stoichiometry: 0 meV per atom

Cell lengths 2.973, 3.065, 8.166 Å; angles 90.00, 90.12, 90.00 degrees
Element x y z (fractional)
1 Re 0.000 0.000 0.000
2 Ni 0.501 0.500 0.173
3 Cl 0.502 0.000 0.371
4 Cl 0.999 0.500 0.780


A plane-wave DFT calculation with PBE-GGA was carried out for a geometry-optimized Ba6Pt3Au2I structure.

Computed properties:
Uncorrected formation energy: -0.85 eV/atom

Cell lengths 10.660, 10.660, 9.636 Å; angles 104.97, 104.97, 25.17 degrees
Element x y z (fractional)
1 Ba 0.006 0.006 0.221
2 Ba 0.322 0.322 0.426
3 Ba 0.335 0.335 0.905
4 Ba 0.665 0.665 0.095
5 Ba 0.678 0.678 0.574
6 Ba 0.994 0.994 0.779
7 Pt 0.164 0.164 0.331
8 Pt 0.500 0.500 0.000
9 Pt 0.836 0.836 0.669
10 Au 0.165 0.165 0.829
11 Au 0.835 0.835 0.171
12 I 0.500 0.500 0.500


A plane-wave DFT calculation with PBE-GGA was carried out for a geometry-optimized LuTh2Ga structure.

Computed properties:
Energy of formation: -174 meV/atom
Energy above the lowest structure with this stoichiometry: 0 meV per atom

Cell lengths 4.741, 4.741, 4.845 Å; angles 90.00, 90.00, 90.00 degrees
Element x y z (fractional)
1 Lu 0.000 0.000 0.000
2 Th 0.000 0.500 0.500
3 Th 0.500 0.000 0.500
4 Ga 0.500 0.500 0.000